A geometry-optimized V2HF8 structure, computed with PBE with a Hubbard U.

Space-group type   C2/m, No. 12
Magnetic moment   0.273 μB per atom
Crystal system   monoclinic
Raw total energy   -5.455 eV per atom

a = 4.7534 Å, b = 5.6741 Å, c = 5.6741 Å
α = 66.29°, β = 81.59°, γ = 81.59°
With the nearest neighbours (Å) after each atom.
Fractional positions:
F: 0.3656 0.8981 0.4022  2 V 1.97-1.99
F: 0.8388 0.6297 0.6297  1 V 1.77
F: 0.1612 0.3703 0.3703  1 V 1.77
F: 0.6344 0.5978 0.1019  2 V 1.97-1.99
F: 0.8445 0.1071 0.1071  1 H 1.15
F: 0.3656 0.4022 0.8981  2 V 1.97-1.99
F: 0.6344 0.1019 0.5978  2 V 1.97-1.99
F: 0.1555 0.8929 0.8929  1 H 1.15
H: 0.0000 0.0000 0.0000  2 F 1.15
V: 0.5061 0.7475 0.7475  4 F 1.77-1.97
V: 0.4939 0.2525 0.2525  4 F 1.77-1.97